# 1
Compound: Nd3TePtBr
Source: the Alexandria database
Functional: PBE
Structure: relaxed

Cell: 7.5448 4.0505 12.0134 Å, 90.00 102.33 90.00°
Closest atoms and distances in Å follow each position.
Positions (direct):
Nd 0.0414 0.2500 0.1373  3 Pt 2.94-2.95, 1 Br 3.23
Nd 0.2921 0.2500 0.4981  3 Br 3.07-3.14, 3 Te 3.18-3.22
Nd 0.4509 0.7500 0.8554  3 Pt 2.95-2.96, 1 Br 3.27
Nd 0.5491 0.2500 0.1446  3 Pt 2.95-2.96, 1 Br 3.27
Nd 0.7079 0.7500 0.5019  3 Br 3.07-3.14, 3 Te 3.18-3.22
Nd 0.9586 0.7500 0.8627  3 Pt 2.94-2.95, 1 Br 3.23
Te 0.3453 0.7500 0.3040  7 Nd 3.18-3.38
Te 0.6547 0.2500 0.6960  7 Nd 3.18-3.38
Pt 0.2365 0.2500 0.9489  6 Nd 2.94-2.96
Pt 0.7635 0.7500 0.0511  6 Nd 2.94-2.96
Br 0.1150 0.7500 0.6326  5 Nd 3.07-3.27
Br 0.8850 0.2500 0.3674  5 Nd 3.07-3.27

Total energy   -5.4328 eV/atom
SG   P2_1/m, No. 11
Density of states at the Fermi level   0.590 states/eV per atom
Formation energy (no corrections)   -1.24 eV/atom


# 2
Compound: Cs3ReCl
Source: the Alexandria database
Functional: PBE
Structure: relaxed

Cell: 6.6265 6.6265 6.6265 Å, 90.00 90.00 90.00°
Closest atoms and distances in Å follow each position.
Positions (direct):
Cs 0.0000 0.0000 0.5000  2 Cl 3.31
Cs 0.0000 0.5000 0.0000  2 Cl 3.31
Cs 0.5000 0.0000 0.0000  2 Cl 3.31
Re 0.5000 0.5000 0.5000  12 Cs 4.69
Cl 0.0000 0.0000 0.0000  6 Cs 3.31

Relative energy among the computed polymorphs   0.00 eV per formula unit
Total energy   -2.8441 eV/atom
SG   Pm-3m, No. 221
Density of states at the Fermi level   1.524 states/eV per atom
Formation energy (no corrections)   0.53 eV/atom


Volume in A^3/atom, matching the order above: 29.89, 58.19
Total magnetic moment in μB per cell, matching the order above: 0.00, 4.28